# 1
DFT (PBE-GGA) results for a geometry-optimized LuCuReGe structure.

Space group: F-43m, No. 216

a = 5.315 Å, b = 5.315 Å, c = 5.315 Å
α = 60.00°, β = 60.00°, γ = 60.00°
Fractional positions:
Lu 0.250 0.250 0.250
Ge 0.000 0.000 0.000
Re 0.500 0.500 0.500
Cu 0.750 0.750 0.750

---

# 2
DFT (PBE-GGA) results for a geometry-optimized AcDySi structure.

Space group: F-43m, No. 216

a = 5.105 Å, b = 5.105 Å, c = 5.105 Å
α = 60.00°, β = 60.00°, γ = 60.00°
Fractional positions:
Si 0.000 0.000 0.000
Ac 0.250 0.250 0.250
Dy 0.750 0.750 0.750

---

# 3
DFT (PBE-GGA) results for a geometry-optimized Co structure.

Space group: P4_132, No. 213

a = 6.008 Å, b = 6.008 Å, c = 6.008 Å
α = 90.00°, β = 90.00°, γ = 90.00°
Each line ends with the local moment (μB).
Fractional positions:
Co 0.375 0.801 0.949  1.76
Co 0.557 0.443 0.943  1.58
Co 0.051 0.875 0.699  1.70
Co 0.193 0.807 0.307  1.58
Co 0.449 0.125 0.199  1.67
Co 0.551 0.625 0.301  1.67
Co 0.057 0.057 0.057  1.56
Co 0.801 0.949 0.375  1.66
Co 0.699 0.051 0.875  1.65
Co 0.301 0.551 0.625  1.59
Co 0.307 0.193 0.807  1.57
Co 0.199 0.449 0.125  1.58
Co 0.875 0.699 0.051  1.77
Co 0.949 0.375 0.801  1.70
Co 0.943 0.557 0.443  1.57
Co 0.125 0.199 0.449  1.71
Co 0.693 0.693 0.693  1.56
Co 0.625 0.301 0.551  1.71
Co 0.443 0.943 0.557  1.56
Co 0.807 0.307 0.193  1.58

---

# 4
DFT (PBE-GGA) results for a geometry-optimized PrDyCu2Si2 structure.

Space group: P-3m1, No. 164

a = 4.186 Å, b = 4.186 Å, c = 7.811 Å
α = 90.00°, β = 90.00°, γ = 120.00°
Fractional positions:
Si 0.333 0.667 0.736
Si 0.667 0.333 0.264
Dy 0.000 0.000 0.500
Cu 0.667 0.333 0.736
Cu 0.333 0.667 0.264
Pr 0.000 0.000 0.000

---

# 5
DFT (PBE-GGA) results for a geometry-optimized DyYZn structure.

Space group: F-43m, No. 216

a = 4.950 Å, b = 4.950 Å, c = 4.950 Å
α = 60.00°, β = 60.00°, γ = 60.00°
Fractional positions:
Zn 0.000 0.000 0.000
Y 0.750 0.750 0.750
Dy 0.250 0.250 0.250

---

# 6
DFT (PBE-GGA) results for a geometry-optimized TlTe2Pt2 structure.

Space group: I4/mmm, No. 139

a = 6.165 Å, b = 6.165 Å, c = 6.165 Å
α = 133.51°, β = 133.51°, γ = 67.86°
Fractional positions:
Tl 0.000 0.000 0.000
Te 0.750 0.250 0.500
Te 0.250 0.750 0.500
Pt 0.363 0.363 0.000
Pt 0.637 0.637 0.000

---

Per-record final energy, eV per atom: -5.079, -5.030, -7.059, -5.251, -4.097, -4.216